# 1
CuTcTe2: relaxed, PBE.

a = 3.2919 Å, b = 3.2919 Å, c = 7.0967 Å
α = 90.00°, β = 90.00°, γ = 90.00°
Closest atoms and distances in Å follow each position.
Space group P4/mmm (No. 123)
Inequivalent atoms, fractional coordinates:
Cu (0.0000, 0.0000, 0.0000) (multiplicity 1)  8 Te 2.99, 4 Cu 3.29
Tc (0.0000, 0.0000, 0.5000) (multiplicity 1)  8 Te 2.87
Te (0.5000, 0.5000, 0.2639) (multiplicity 2)  4 Tc 2.87, 4 Cu 2.99

Computed properties:
Formation energy (no corrections): 322 meV per atom

# 2
Ba2MgMn: relaxed, PBE.

a = 11.2665 Å, b = 11.2665 Å, c = 5.1895 Å
α = 90.00°, β = 90.00°, γ = 90.00°
Closest atoms and distances in Å follow each position.
Space group I-42d (No. 122)
Inequivalent atoms, fractional coordinates:
Ba (0.0547, 0.2500, 0.1250) (multiplicity 8)  2 Mn 2.96
Mg (0.0000, 0.0000, 0.5000) (multiplicity 4)  2 Mn 2.59
Mn (0.0000, 0.0000, 0.0000) (multiplicity 4)  2 Mg 2.59

Computed properties:
E: -2.87 eV/atom

# 3
CaAcLaAg: relaxed, PBE.

a = 3.8283 Å, b = 3.8283 Å, c = 9.3831 Å
α = 90.00°, β = 90.00°, γ = 90.00°
Closest atoms and distances in Å follow each position.
Space group P4mm (No. 99)
Inequivalent atoms, fractional coordinates:
Ca (0.0000, 0.0000, 0.0000) (multiplicity 1)  4 Ag 3.24
Ac (0.5000, 0.5000, 0.3187) (multiplicity 1)  4 Ac 3.83, 4 La 3.83, 4 Ca 4.03
La (0.0000, 0.0000, 0.6072) (multiplicity 1)  4 Ag 3.31, 1 Ca 3.69
Ag (0.5000, 0.5000, 0.8104) (multiplicity 1)  4 Ca 3.24, 4 La 3.31

Computed properties:
E: -3.60 eV/atom

# 4
Sc2SbSe: relaxed, PBE.

a = 3.9290 Å, b = 3.9290 Å, c = 21.0775 Å
α = 90.00°, β = 90.00°, γ = 120.00°
Closest atoms and distances in Å follow each position.
Space group R3m (No. 160, hexagonal axes)
Inequivalent atoms, fractional coordinates:
Sc (0.0000, 0.0000, 0.0000) (multiplicity 3)  3 Se 2.88, 3 Sb 2.90
Sc (0.0000, 0.0000, 0.1647) (multiplicity 3)  3 Se 2.83, 3 Sb 2.86
Sb (0.0000, 0.0000, 0.5809) (multiplicity 3)  6 Sc 2.86-2.90
Se (0.0000, 0.0000, 0.7510) (multiplicity 3)  6 Sc 2.83-2.88

Computed properties:
Formation energy (no corrections): -1174 meV per atom

| no. | magnetic moment (μB/cell) | D(E_F) (states/eV/cell) |
| --- | --- | --- |
| 1 | 0.00 | 3.8 |
| 2 | 0.00 | 29.4 |
| 3 | 0.00 | 4.6 |
| 4 | 1.08 | 9.2 |